No. 1
5
Lattice="5.207 0.000 0.000 0.000 5.207 0.000 0.000 0.000 5.207" Properties=species:S:1:pos:R:3 comment="Zr3TeO, single point on PBEsol structure, DFT SCAN" n_ef_per_ev_cell=4.70 spacegroup=Pm-3m formation_energy_uncorrected_ev_per_atom=1.173 vol_a3_per_cell=141 pbc="T T T"
Zr 0.000 0.000 2.603
Zr 0.000 2.603 0.000
Zr 2.603 0.000 0.000
Te 0.000 0.000 0.000
O 2.603 2.603 2.603

No. 2
3
Lattice="4.772 0.000 0.000 -2.386 4.132 0.000 0.000 0.000 3.812" Properties=species:S:1:pos:R:3 comment="LaAlIn, single point on PBEsol structure, DFT SCAN" n_ef_per_ev_cell=1.43 spacegroup=P-6m2 vol_a3_per_cell=75 formation_enthalpy_0k_ev_per_atom=-0.583 pbc="T T T"
La 0.000 0.000 0.000
Al 0.000 2.755 1.906
In 2.386 1.377 1.906

No. 3
5
Lattice="6.653 0.000 0.000 0.000 6.653 0.000 0.000 0.000 4.854" Properties=species:S:1:pos:R:3 comment="K2ZnPbAu, single point on PBEsol structure, DFT SCAN" n_ef_per_ev_cell=3.09 spacegroup=P4/mmm vol_a3_per_cell=215 formation_enthalpy_0k_ev_per_atom=0.190 pbc="T T T"
K 0.000 3.327 0.000
K 3.327 0.000 0.000
Zn 0.000 0.000 2.427
Pb 0.000 0.000 0.000
Au 3.327 3.327 2.427

No. 4
4
Lattice="2.958 0.000 0.000 0.000 3.781 0.000 0.000 0.000 5.657" Properties=species:S:1:pos:R:3 comment="SbPOs2, single point on PBEsol structure, DFT SCAN" n_ef_per_ev_cell=2.88 spacegroup=Pmm2 formation_energy_uncorrected_ev_per_atom=0.313 vol_a3_per_cell=63 pbc="T T T"
Sb 0.000 0.000 0.000
P 1.479 1.890 3.508
Os 0.000 0.000 2.966
Os 1.479 1.890 1.217

No. 5
4
Lattice="3.011 0.000 0.000 0.000 3.011 0.000 0.000 0.000 6.836" Properties=species:S:1:pos:R:3 comment="ZnInTc2, single point on PBEsol structure, DFT SCAN" n_ef_per_ev_cell=1.87 spacegroup=P4mm vol_a3_per_cell=62 formation_enthalpy_0k_ev_per_atom=0.037 pbc="T T T"
Zn 0.000 0.000 0.000
In 1.506 1.506 1.939
Tc 0.000 0.000 3.844
Tc 1.506 1.506 5.307

No. 6
5
Lattice="5.446 0.000 0.000 0.000 5.446 0.000 0.000 0.000 5.446" Properties=species:S:1:pos:R:3 comment="LiCdIn3, single point on PBEsol structure, DFT SCAN" n_ef_per_ev_cell=2.52 spacegroup=Pm-3m vol_a3_per_cell=162 formation_enthalpy_0k_ev_per_atom=0.337 pbc="T T T"
Li 0.000 0.000 0.000
Cd 2.723 2.723 2.723
In 0.000 2.723 2.723
In 2.723 0.000 2.723
In 2.723 2.723 0.000

No. 7
4
Lattice="2.997 0.000 0.000 0.000 2.997 0.000 0.000 0.000 7.882" Properties=species:S:1:pos:R:3 comment="FeTcBr2, single point on PBEsol structure, DFT SCAN" n_ef_per_ev_cell=3.27 spacegroup=P4mm formation_energy_uncorrected_ev_per_atom=0.388 vol_a3_per_cell=71 pbc="T T T"
Fe 0.000 0.000 0.000
Tc 1.499 1.499 6.405
Br 0.000 0.000 4.704
Br 1.499 1.499 1.542

No. 8
5
Lattice="5.497 0.000 0.000 0.000 5.497 0.000 0.000 0.000 5.449" Properties=species:S:1:pos:R:3 comment="BeGeSbI2, single point on PBEsol structure, DFT SCAN" n_ef_per_ev_cell=3.22 spacegroup=P4/mmm formation_energy_uncorrected_ev_per_atom=0.918 vol_a3_per_cell=165 pbc="T T T"
Be 0.000 0.000 0.000
Ge 2.748 2.748 2.725
Sb 2.748 2.748 0.000
I 0.000 2.748 2.725
I 2.748 0.000 2.725

What is the formula in the seventh record? FeTcBr2